# LiCe2Ga2 | the Alexandria database | PBE-GGA | optimized geometry
data_LiCe2Ga2
_cell_length_a 4.607
_cell_length_b 6.401
_cell_length_c 7.903
_cell_angle_alpha 90.00
_cell_angle_beta 90.00
_cell_angle_gamma 90.00
_space_group_name_H-M_alt 'I m m m'
_space_group_IT_number 71
_space_group_name_Hall '-I 2 2'
loop_
_atom_site_label
_atom_site_fract_x
_atom_site_fract_y
_atom_site_fract_z
Li1 0.000 0.000 0.000
Ce1 0.000 0.500 0.178
Ga1 0.000 0.227 0.500
# Formation enthalpy at 0 K ... -334.4 meV/atom


# TaVReRh | the Alexandria database | PBE-GGA | optimized geometry
data_TaVReRh
_cell_length_a 6.258
_cell_length_b 6.258
_cell_length_c 6.258
_cell_angle_alpha 90.00
_cell_angle_beta 90.00
_cell_angle_gamma 90.00
_space_group_name_H-M_alt 'F -4 3 m'
_space_group_IT_number 216
_space_group_name_Hall 'F -4 2 3'
loop_
_atom_site_label
_atom_site_fract_x
_atom_site_fract_y
_atom_site_fract_z
Ta1 0.000 0.000 0.000
V1 0.000 0.000 0.500
Re1 0.250 0.250 0.750
Rh1 0.250 0.250 0.250
# Formation enthalpy at 0 K ... -260.2 meV/atom


# NaHo5Ru4 | the Alexandria database | PBE-GGA | optimized geometry
data_NaHo5Ru4
_cell_length_a 3.391
_cell_length_b 3.391
_cell_length_c 19.408
_cell_angle_alpha 90.00
_cell_angle_beta 90.00
_cell_angle_gamma 90.00
_space_group_name_H-M_alt 'P 4/m m m'
_space_group_IT_number 123
_space_group_name_Hall '-P 4 2'
loop_
_atom_site_label
_atom_site_fract_x
_atom_site_fract_y
_atom_site_fract_z
Na1 0.000 0.000 0.000
Ho1 0.500 0.500 0.154
Ho2 0.500 0.500 0.327
Ho3 0.500 0.500 0.500
Ru1 0.000 0.000 0.233
Ru2 0.000 0.000 0.413
# Formation enthalpy at 0 K ... -324.6 meV/atom


# LiOsPb3 | the Alexandria database | PBE-GGA | optimized geometry
data_LiOsPb3
_cell_length_a 4.976
_cell_length_b 4.976
_cell_length_c 4.976
_cell_angle_alpha 90.00
_cell_angle_beta 90.00
_cell_angle_gamma 90.00
_space_group_name_H-M_alt 'P m -3 m'
_space_group_IT_number 221
_space_group_name_Hall '-P 4 2 3'
loop_
_atom_site_label
_atom_site_fract_x
_atom_site_fract_y
_atom_site_fract_z
Li1 0.000 0.000 0.000
Os1 0.500 0.500 0.500
Pb1 0.000 0.000 0.500
# Formation enthalpy at 0 K ... 1134.7 meV/atom


# ZrNb2ZnAs | the Alexandria database | PBE-GGA | optimized geometry
data_ZrNb2ZnAs
_cell_length_a 4.708
_cell_length_b 4.708
_cell_length_c 4.933
_cell_angle_alpha 90.00
_cell_angle_beta 90.00
_cell_angle_gamma 90.00
_space_group_name_H-M_alt 'P 4/m m m'
_space_group_IT_number 123
_space_group_name_Hall '-P 4 2'
loop_
_atom_site_label
_atom_site_fract_x
_atom_site_fract_y
_atom_site_fract_z
Zr1 0.000 0.000 0.000
Nb1 0.000 0.500 0.500
Zn1 0.000 0.000 0.500
As1 0.500 0.500 0.000
# Formation enthalpy at 0 K ... 884.0 meV/atom


# TlSb2H | the Alexandria database | PBE-GGA | optimized geometry
data_TlSb2H
_cell_length_a 6.839
_cell_length_b 6.839
_cell_length_c 8.362
_cell_angle_alpha 90.00
_cell_angle_beta 90.00
_cell_angle_gamma 90.00
_space_group_name_H-M_alt 'I -4 2 d'
_space_group_IT_number 122
_space_group_name_Hall 'I -4 2bw'
loop_
_atom_site_label
_atom_site_fract_x
_atom_site_fract_y
_atom_site_fract_z
Tl1 0.000 0.000 0.000
Sb1 0.109 0.250 0.625
H1 0.000 0.000 0.500
# E_tot ... -3.1201 eV/atom


# Al2CrAgIr | the Alexandria database | PBE-GGA | optimized geometry
data_Al2CrAgIr
_cell_length_a 4.510
_cell_length_b 4.510
_cell_length_c 4.683
_cell_angle_alpha 90.00
_cell_angle_beta 90.00
_cell_angle_gamma 90.00
_space_group_name_H-M_alt 'P 4/m m m'
_space_group_IT_number 123
_space_group_name_Hall '-P 4 2'
loop_
_atom_site_label
_atom_site_fract_x
_atom_site_fract_y
_atom_site_fract_z
Al1 0.000 0.500 0.000
Cr1 0.000 0.000 0.000
Ag1 0.000 0.000 0.500
Ir1 0.500 0.500 0.500
# Formation enthalpy at 0 K ... 1297.2 meV/atom


# Pa2SbPd8 | the Alexandria database | PBE-GGA | optimized geometry
data_Pa2SbPd8
_cell_length_a 7.544
_cell_length_b 14.133
_cell_length_c 5.190
_cell_angle_alpha 90.00
_cell_angle_beta 131.32
_cell_angle_gamma 90.00
_space_group_name_H-M_alt 'C 1 2/m 1'
_space_group_IT_number 12
_space_group_name_Hall '-C 2y'
loop_
_atom_site_label
_atom_site_fract_x
_atom_site_fract_y
_atom_site_fract_z
Pa1 0.000 0.181 0.000
Sb1 0.000 0.500 0.500
Pd1 0.000 0.309 0.500
Pd2 0.064 0.000 0.307
Pd3 0.242 0.361 0.209
# Formation energy without anion corrections ... -520 meV per atom


# LaZr2AsF | the Alexandria database | PBE-GGA | optimized geometry
data_LaZr2AsF
_cell_length_a 5.183
_cell_length_b 5.183
_cell_length_c 4.761
_cell_angle_alpha 90.00
_cell_angle_beta 90.00
_cell_angle_gamma 90.00
_space_group_name_H-M_alt 'P 4/m m m'
_space_group_IT_number 123
_space_group_name_Hall '-P 4 2'
loop_
_atom_site_label
_atom_site_fract_x
_atom_site_fract_y
_atom_site_fract_z
La1 0.000 0.000 0.000
Zr1 0.000 0.500 0.500
As1 0.500 0.500 0.500
F1 0.500 0.500 0.000
# Formation energy without anion corrections ... -243 meV per atom


# CaAcNp2O8 | the Alexandria database | PBE-GGA | optimized geometry
data_CaAcNp2O8
_cell_length_a 5.536
_cell_length_b 5.536
_cell_length_c 10.641
_cell_angle_alpha 90.00
_cell_angle_beta 90.00
_cell_angle_gamma 90.00
_space_group_name_H-M_alt 'I -4 m 2'
_space_group_IT_number 119
_space_group_name_Hall 'I -4 -2'
loop_
_atom_site_label
_atom_site_fract_x
_atom_site_fract_y
_atom_site_fract_z
Ca1 0.000 0.000 0.000
Ac1 0.000 0.500 0.250
Np1 0.000 0.000 0.500
Np2 0.000 0.500 0.750
O1 0.218 0.254 0.623
# Formation energy without anion corrections ... -2978 meV per atom


# Mn2FeRh | the Alexandria database | PBE-GGA | optimized geometry
data_Mn2FeRh
_cell_length_a 8.485
_cell_length_b 2.595
_cell_length_c 4.415
_cell_angle_alpha 90.00
_cell_angle_beta 100.47
_cell_angle_gamma 90.00
_space_group_name_H-M_alt 'C 1 2/m 1'
_space_group_IT_number 12
_space_group_name_Hall '-C 2y'
loop_
_atom_site_label
_atom_site_fract_x
_atom_site_fract_y
_atom_site_fract_z
Mn1 0.246 0.000 0.234
Fe1 0.000 0.500 0.000
Rh1 0.000 0.000 0.500
# Formation enthalpy at 0 K ... 85.7 meV/atom


# MgAs3F | the Alexandria database | PBE-GGA | optimized geometry
data_MgAs3F
_cell_length_a 4.580
_cell_length_b 4.580
_cell_length_c 4.580
_cell_angle_alpha 90.00
_cell_angle_beta 90.00
_cell_angle_gamma 90.00
_space_group_name_H-M_alt 'P m -3 m'
_space_group_IT_number 221
_space_group_name_Hall '-P 4 2 3'
loop_
_atom_site_label
_atom_site_fract_x
_atom_site_fract_y
_atom_site_fract_z
Mg1 0.000 0.000 0.000
As1 0.000 0.500 0.500
F1 0.500 0.500 0.500
# Formation energy without anion corrections ... 72 meV per atom


# LaDyY2Se4 | the Alexandria database | PBE-GGA | optimized geometry
data_LaDyY2Se4
_cell_length_a 7.183
_cell_length_b 4.092
_cell_length_c 7.227
_cell_angle_alpha 90.00
_cell_angle_beta 108.85
_cell_angle_gamma 90.00
_space_group_name_H-M_alt 'P 1 2/m 1'
_space_group_IT_number 10
_space_group_name_Hall '-P 2y'
loop_
_atom_site_label
_atom_site_fract_x
_atom_site_fract_y
_atom_site_fract_z
La1 0.000 0.000 0.000
Dy1 0.000 0.500 0.500
Y1 0.500 0.000 0.500
Y2 0.500 0.500 0.000
Se1 0.255 0.000 0.743
Se2 0.261 0.500 0.262
# Formation energy without anion corrections ... -1812 meV per atom


# Ce5InGa2 | the Alexandria database | PBE-GGA | optimized geometry
data_Ce5InGa2
_cell_length_a 5.128
_cell_length_b 9.779
_cell_length_c 17.029
_cell_angle_alpha 90.00
_cell_angle_beta 90.00
_cell_angle_gamma 90.00
_space_group_name_H-M_alt 'C m c m'
_space_group_IT_number 63
_space_group_name_Hall '-C 2c 2'
loop_
_atom_site_label
_atom_site_fract_x
_atom_site_fract_y
_atom_site_fract_z
Ce1 0.000 0.062 0.069
Ce2 0.000 0.265 0.750
Ce3 0.000 0.415 0.107
In1 0.000 0.053 0.250
Ga1 0.000 0.266 0.569
# Formation enthalpy at 0 K ... -273.2 meV/atom


# Tb2Nd5Er12 | the Alexandria database | PBE-GGA | optimized geometry
data_Tb2Nd5Er12
_cell_length_a 15.568
_cell_length_b 9.273
_cell_length_c 8.611
_cell_angle_alpha 90.00
_cell_angle_beta 92.25
_cell_angle_gamma 90.00
_space_group_name_H-M_alt 'C 1 2/m 1'
_space_group_IT_number 12
_space_group_name_Hall '-C 2y'
loop_
_atom_site_label
_atom_site_fract_x
_atom_site_fract_y
_atom_site_fract_z
Tb1 0.000 0.175 0.000
Nd1 0.000 0.500 0.500
Nd2 0.207 0.000 0.018
Nd3 0.231 0.500 0.571
Er1 0.056 0.000 0.335
Er2 0.075 0.500 0.876
Er3 0.129 0.190 0.667
Er4 0.148 0.321 0.240
# Formation enthalpy at 0 K ... 120.3 meV/atom


# SmAgPdRh | the Alexandria database | PBE-GGA | optimized geometry
data_SmAgPdRh
_cell_length_a 6.708
_cell_length_b 6.708
_cell_length_c 6.708
_cell_angle_alpha 90.00
_cell_angle_beta 90.00
_cell_angle_gamma 90.00
_space_group_name_H-M_alt 'F -4 3 m'
_space_group_IT_number 216
_space_group_name_Hall 'F -4 2 3'
loop_
_atom_site_label
_atom_site_fract_x
_atom_site_fract_y
_atom_site_fract_z
Sm1 0.000 0.000 0.000
Ag1 0.000 0.000 0.500
Pd1 0.250 0.250 0.750
Rh1 0.250 0.250 0.250
# Formation enthalpy at 0 K ... -442.1 meV/atom


# CaSmHo4S8 | the Alexandria database | PBE-GGA | optimized geometry
data_CaSmHo4S8
_cell_length_a 8.0699
_cell_length_b 8.0699
_cell_length_c 19.9371
_cell_angle_alpha 90.00
_cell_angle_beta 90.00
_cell_angle_gamma 120.00
_space_group_name_H-M_alt 'R 3 m'
_space_group_IT_number 160
_space_group_name_Hall 'R 3 -2"'
loop_
_atom_site_label
_atom_site_fract_x
_atom_site_fract_y
_atom_site_fract_z
Ca1 0.0000 0.0000 0.0000
Sm1 0.0000 0.0000 0.6276
Ho1 0.0000 0.0000 0.2511
Ho2 0.1692 0.3385 0.4584
S1 0.0000 0.0000 0.3838
S2 0.0000 0.0000 0.8648
S3 0.0242 0.5121 0.3816
S4 0.1748 0.3497 0.2044
# Formation energy without anion corrections ... -1995 meV per atom


# KBa2Ni | the Alexandria database | PBE-GGA | optimized geometry
data_KBa2Ni
_cell_length_a 4.388
_cell_length_b 4.388
_cell_length_c 10.971
_cell_angle_alpha 90.00
_cell_angle_beta 90.00
_cell_angle_gamma 90.00
_space_group_name_H-M_alt 'P 4 m m'
_space_group_IT_number 99
_space_group_name_Hall 'P 4 -2'
loop_
_atom_site_label
_atom_site_fract_x
_atom_site_fract_y
_atom_site_fract_z
K1 0.000 0.000 0.000
Ba1 0.000 0.000 0.386
Ba2 0.500 0.500 0.673
Ni1 0.500 0.500 0.409
# Formation enthalpy at 0 K ... 230.9 meV/atom


# La2Ge3Pt4Rh | the Alexandria database | PBE-GGA | optimized geometry
data_La2Ge3Pt4Rh
_cell_length_a 4.266
_cell_length_b 4.266
_cell_length_c 10.832
_cell_angle_alpha 90.00
_cell_angle_beta 90.00
_cell_angle_gamma 90.00
_space_group_name_H-M_alt 'P -4 m 2'
_space_group_IT_number 115
_space_group_name_Hall 'P -4 -2'
loop_
_atom_site_label
_atom_site_fract_x
_atom_site_fract_y
_atom_site_fract_z
La1 0.000 0.500 0.241
Ge1 0.000 0.000 0.000
Ge2 0.000 0.500 0.628
Pt1 0.000 0.000 0.500
Pt2 0.000 0.500 0.854
Pt3 0.500 0.500 0.500
Rh1 0.500 0.500 0.000
# Formation enthalpy at 0 K ... -855.6 meV/atom


# KSeI2N | the Alexandria database | PBE-GGA | optimized geometry
data_KSeI2N
_cell_length_a 6.394
_cell_length_b 6.394
_cell_length_c 3.768
_cell_angle_alpha 90.00
_cell_angle_beta 90.00
_cell_angle_gamma 90.00
_space_group_name_H-M_alt 'P 4/m m m'
_space_group_IT_number 123
_space_group_name_Hall '-P 4 2'
loop_
_atom_site_label
_atom_site_fract_x
_atom_site_fract_y
_atom_site_fract_z
K1 0.000 0.000 0.000
Se1 0.500 0.500 0.500
I1 0.000 0.500 0.500
N1 0.500 0.500 0.000
# Formation energy without anion corrections ... 129 meV per atom


# Nd6Zn2Sn | the Alexandria database | PBE-GGA | optimized geometry
data_Nd6Zn2Sn
_cell_length_a 10.066
_cell_length_b 10.218
_cell_length_c 10.457
_cell_angle_alpha 90.00
_cell_angle_beta 90.00
_cell_angle_gamma 90.00
_space_group_name_H-M_alt 'I m m m'
_space_group_IT_number 71
_space_group_name_Hall '-I 2 2'
loop_
_atom_site_label
_atom_site_fract_x
_atom_site_fract_y
_atom_site_fract_z
Nd1 0.000 0.218 0.183
Nd2 0.187 0.226 0.500
Nd3 0.206 0.500 0.257
Zn1 0.000 0.000 0.377
Zn2 0.130 0.000 0.000
Sn1 0.000 0.500 0.000
Sn2 0.000 0.500 0.500
# Formation enthalpy at 0 K ... -278.7 meV/atom


# Tl2AgPd | the Alexandria database | PBE-GGA | optimized geometry
data_Tl2AgPd
_cell_length_a 4.6397
_cell_length_b 4.6397
_cell_length_c 15.1920
_cell_angle_alpha 90.00
_cell_angle_beta 90.00
_cell_angle_gamma 120.00
_space_group_name_H-M_alt 'R 3 m'
_space_group_IT_number 160
_space_group_name_Hall 'R 3 -2"'
loop_
_atom_site_label
_atom_site_fract_x
_atom_site_fract_y
_atom_site_fract_z
Tl1 0.0000 0.0000 0.0000
Tl2 0.0000 0.0000 0.2031
Ag1 0.0000 0.0000 0.4249
Pd1 0.0000 0.0000 0.6128
# Formation enthalpy at 0 K ... 66.6 meV/atom


# LaIrRu2 | the Alexandria database | PBE-GGA | optimized geometry
data_LaIrRu2
_cell_length_a 5.866
_cell_length_b 8.056
_cell_length_c 2.919
_cell_angle_alpha 90.00
_cell_angle_beta 90.00
_cell_angle_gamma 90.00
_space_group_name_H-M_alt 'C m m m'
_space_group_IT_number 65
_space_group_name_Hall '-C 2 2'
loop_
_atom_site_label
_atom_site_fract_x
_atom_site_fract_y
_atom_site_fract_z
La1 0.000 0.000 0.000
Ir1 0.000 0.500 0.000
Ru1 0.250 0.250 0.500
# Formation enthalpy at 0 K ... 232.2 meV/atom


# TlCoSCl2 | the Alexandria database | PBE-GGA | optimized geometry
data_TlCoSCl2
_cell_length_a 5.071
_cell_length_b 5.071
_cell_length_c 4.404
_cell_angle_alpha 90.00
_cell_angle_beta 90.00
_cell_angle_gamma 90.00
_space_group_name_H-M_alt 'P 4/m m m'
_space_group_IT_number 123
_space_group_name_Hall '-P 4 2'
loop_
_atom_site_label
_atom_site_fract_x
_atom_site_fract_y
_atom_site_fract_z
Tl1 0.000 0.000 0.000
Co1 0.500 0.500 0.500
S1 0.500 0.500 0.000
Cl1 0.000 0.500 0.500
# Formation energy without anion corrections ... -371 meV per atom


# Sm2Sn2Rh | the Alexandria database | PBE-GGA | optimized geometry
data_Sm2Sn2Rh
_cell_length_a 6.731
_cell_length_b 13.051
_cell_length_c 6.320
_cell_angle_alpha 90.00
_cell_angle_beta 90.00
_cell_angle_gamma 90.00
_space_group_name_H-M_alt 'I b a m'
_space_group_IT_number 72
_space_group_name_Hall '-I 2 2c'
loop_
_atom_site_label
_atom_site_fract_x
_atom_site_fract_y
_atom_site_fract_z
Sm1 0.209 0.126 0.000
Sn1 0.225 0.375 0.000
Rh1 0.000 0.500 0.250
# Formation enthalpy at 0 K ... -631.8 meV/atom